Material: DyFe2O4
Method: DFT, PBE+U
State: optimized geometry

Cell lengths 6.8968, 9.8000, 5.9819 Å; angles 90.00, 125.18, 90.00 degrees
Space group C2/c (No. 15)
Inequivalent atoms, fractional coordinates:
Dy 0.0000 0.1205 0.2500
Fe 0.0000 0.5000 0.0000
Fe 0.2500 0.2500 0.0000
O 0.0784 0.2708 0.5769
O 0.2343 0.0415 0.0458

Results
Energy relative to the lowest polymorph listed for this composition   0 meV/atom
Calculated volume   82.6 Å³/f.u.
Spin magnetization   9.00 μB per formula unit
Calculated total energy   -7.2644 eV per atom
Crystal system   monoclinic